Here is LiLaSbO after structural relaxation from Alexandria. Energies are from PBE-GGA.

Cell: 4.0723 4.0723 10.8255 Å, 90.00 90.00 90.00°
Fractional positions:
Li  0.2500  0.7500  0.0000
Li  0.7500  0.2500  0.0000
La  0.2500  0.2500  0.3868
La  0.7500  0.7500  0.6132
Sb  0.2500  0.2500  0.8156
Sb  0.7500  0.7500  0.1844
O  0.2500  0.7500  0.5000
O  0.7500  0.2500  0.5000

Results
Its uncorrected energy is -5.84 eV per atom.